Below is crystalline La2CeCuS5 at its relaxed geometry, with properties calculated at the PBE level.

a b c (Å): 8.5756 8.5756 12.2305
angles (deg): 90.00 90.00 153.12
Positions (direct):
La: 0.1142 0.8858 0.5000
La: 0.1189 0.8811 0.1542
La: 0.8811 0.1189 0.6542
La: 0.8858 0.1142 0.0000
Ce: 0.1790 0.8210 0.8346
Ce: 0.8210 0.1790 0.3346
Cu: 0.4515 0.5485 0.2268
Cu: 0.5485 0.4515 0.7268
S: 0.0154 0.9846 0.8152
S: 0.2992 0.7008 0.4960
S: 0.3161 0.6839 0.1704
S: 0.3456 0.6544 0.8274
S: 0.4916 0.5084 0.5574
S: 0.5084 0.4916 0.0574
S: 0.6544 0.3456 0.3274
S: 0.6839 0.3161 0.6704
S: 0.7008 0.2992 0.9960
S: 0.9846 0.0154 0.3152

**Space-group type**: Cmc2_1, No. 36
**Total DFT energy (no corrections)**: -6.316 eV/atom

---

Below is crystalline LaCeCuSe4 at its relaxed geometry, with properties calculated at the PBE level.

a b c (Å): 7.0069 6.1219 8.3891
angles (deg): 90.00 107.28 90.00
Positions (direct):
La: 0.2409 0.2500 0.4341
La: 0.7591 0.7500 0.5659
Ce: 0.2445 0.2500 0.9384
Ce: 0.7555 0.7500 0.0616
Cu: 0.2482 0.7500 0.1858
Cu: 0.7518 0.2500 0.8142
Se: 0.0694 0.7500 0.3879
Se: 0.0726 0.7500 0.8950
Se: 0.4837 0.5110 0.7508
Se: 0.4837 0.9890 0.7508
Se: 0.5163 0.0110 0.2492
Se: 0.5163 0.4890 0.2492
Se: 0.9274 0.2500 0.1050
Se: 0.9306 0.2500 0.6121

**Space-group type**: P2_1/m, No. 11
**Total DFT energy (no corrections)**: -5.565 eV/atom

---

Below is crystalline LaCeCu4Si4 at its relaxed geometry, with properties calculated at the PBE level.

a b c (Å): 4.1168 4.1168 9.8917
angles (deg): 90.00 90.00 90.00
Positions (direct):
La: 0.0000 0.0000 0.0000
Ce: 0.5000 0.5000 0.5000
Cu: 0.0000 0.5000 0.2524
Cu: 0.0000 0.5000 0.7476
Cu: 0.5000 0.0000 0.2524
Cu: 0.5000 0.0000 0.7476
Si: 0.0000 0.0000 0.3807
Si: 0.0000 0.0000 0.6193
Si: 0.5000 0.5000 0.1237
Si: 0.5000 0.5000 0.8763

**Space-group type**: P4/mmm, No. 123
**Total DFT energy (no corrections)**: -5.478 eV/atom

---

Below is crystalline LaCeCu2Si2 at its relaxed geometry, with properties calculated at the PBE level.

a b c (Å): 4.1940 4.1940 8.1240
angles (deg): 90.00 90.00 120.00
Positions (direct):
La: 0.0000 0.0000 0.0000
Ce: 0.0000 0.0000 0.5000
Cu: 0.3333 0.6667 0.7379
Cu: 0.6667 0.3333 0.2621
Si: 0.3333 0.6667 0.2628
Si: 0.6667 0.3333 0.7372

**Space-group type**: P-3m1, No. 164
**Total DFT energy (no corrections)**: -5.575 eV/atom

---

Below is crystalline La2Ce2CuSi4 at its relaxed geometry, with properties calculated at the PBE level.

a b c (Å): 6.5103 6.5103 6.5103
angles (deg): 115.07 115.07 98.78
Positions (direct):
La: 0.2500 0.7500 0.5000
La: 0.7500 0.2500 0.5000
Ce: 0.1665 0.1665 0.0000
Ce: 0.8335 0.8335 0.0000
Cu: 0.5000 0.5000 0.0000
Si: 0.2679 0.2679 0.5358
Si: 0.2679 0.7321 0.0000
Si: 0.7321 0.2679 0.0000
Si: 0.7321 0.7321 0.4642

**Space-group type**: I4/mmm, No. 139
**Total DFT energy (no corrections)**: -5.611 eV/atom

---

Below is crystalline LaCe2Cu2Si2 at its relaxed geometry, with properties calculated at the PBE level.

a b c (Å): 9.7068 9.7068 9.7068
angles (deg): 25.00 25.00 25.00
Positions (direct):
La: 0.0000 0.0000 0.0000
Ce: 0.1408 0.1408 0.1408
Ce: 0.8592 0.8592 0.8592
Cu: 0.4091 0.4091 0.4091
Cu: 0.5909 0.5909 0.5909
Si: 0.2585 0.2585 0.2585
Si: 0.7415 0.7415 0.7415

**Space-group type**: R-3m, No. 166
**Total DFT energy (no corrections)**: -5.623 eV/atom

---

Below is crystalline LaCe2Cu2Sn2 at its relaxed geometry, with properties calculated at the PBE level.

a b c (Å): 9.9116 9.9116 9.9116
angles (deg): 26.28 26.28 26.28
Positions (direct):
La: 0.0000 0.0000 0.0000
Ce: 0.1431 0.1431 0.1431
Ce: 0.8569 0.8569 0.8569
Cu: 0.4219 0.4219 0.4219
Cu: 0.5781 0.5781 0.5781
Sn: 0.2619 0.2619 0.2619
Sn: 0.7381 0.7381 0.7381

**Space-group type**: R-3m, No. 166
**Total DFT energy (no corrections)**: -5.138 eV/atom
**Energy of formation from the pure elements**: -9.79 kcal/mol of atoms

---

Below is crystalline LaCeCuSn at its relaxed geometry, with properties calculated at the PBE level.

a b c (Å): 5.3665 5.3665 5.3665
angles (deg): 60.00 60.00 60.00
Positions (direct):
La: 0.0000 0.0000 0.0000
Ce: 0.5000 0.5000 0.5000
Cu: 0.2500 0.2500 0.2500
Sn: 0.7500 0.7500 0.7500

**Space-group type**: F-43m, No. 216
**Total DFT energy (no corrections)**: -5.073 eV/atom
**Energy of formation from the pure elements**: -7.69 kcal/mol of atoms

---

Below is crystalline LaCeZnCu at its relaxed geometry, with properties calculated at the PBE level.

a b c (Å): 5.1676 5.1676 5.1676
angles (deg): 60.00 60.00 60.00
Positions (direct):
La: 0.0000 0.0000 0.0000
Ce: 0.5000 0.5000 0.5000
Zn: 0.7500 0.7500 0.7500
Cu: 0.2500 0.2500 0.2500

**Space-group type**: F-43m, No. 216
**Total DFT energy (no corrections)**: -4.180 eV/atom
**Energy of formation from the pure elements**: -2.82 kcal/mol of atoms

---

Below is crystalline LiCeCu2 at its relaxed geometry, with properties calculated at the PBE level.

a b c (Å): 3.1043 3.1043 6.8546
angles (deg): 90.00 90.00 90.00
Positions (direct):
Li: 0.0000 0.0000 0.0000
Ce: 0.0000 0.0000 0.5000
Cu: 0.5000 0.5000 0.1913
Cu: 0.5000 0.5000 0.8087

**Space-group type**: P4/mmm, No. 123
**Total DFT energy (no corrections)**: -4.021 eV/atom
**Energy of formation from the pure elements**: -0.24 kcal/mol of atoms

---

Below is crystalline Li3CeCu3 at its relaxed geometry, with properties calculated at the PBE level.

a b c (Å): 6.4509 6.4509 6.4509
angles (deg): 90.00 90.00 90.00
Positions (direct):
Li: 0.0000 0.2500 0.5000
Li: 0.0000 0.7500 0.5000
Li: 0.2500 0.5000 0.0000
Li: 0.5000 0.0000 0.2500
Li: 0.5000 0.0000 0.7500
Li: 0.7500 0.5000 0.0000
Ce: 0.0000 0.0000 0.0000
Ce: 0.5000 0.5000 0.5000
Cu: 0.0000 0.5000 0.2500
Cu: 0.0000 0.5000 0.7500
Cu: 0.2500 0.0000 0.5000
Cu: 0.5000 0.2500 0.0000
Cu: 0.5000 0.7500 0.0000
Cu: 0.7500 0.0000 0.5000

**Space-group type**: Pm-3n, No. 223
**Total DFT energy (no corrections)**: -3.034 eV/atom
**Energy of formation from the pure elements**: 8.97 kcal/mol of atoms

---

Below is crystalline LiCe2Cu6 at its relaxed geometry, with properties calculated at the PBE level.

a b c (Å): 7.5020 7.5020 3.2540
angles (deg): 90.00 90.00 120.00
Positions (direct):
Li: 0.0000 0.0000 0.0000
Ce: 0.3333 0.6667 0.0000
Ce: 0.6667 0.3333 0.0000
Cu: 0.0000 0.3261 0.5000
Cu: 0.0000 0.6739 0.5000
Cu: 0.3261 0.0000 0.5000
Cu: 0.3261 0.3261 0.5000
Cu: 0.6739 0.0000 0.5000
Cu: 0.6739 0.6739 0.5000

**Space-group type**: P6/mmm, No. 191
**Total DFT energy (no corrections)**: -4.265 eV/atom
**Energy of formation from the pure elements**: -0.06 kcal/mol of atoms